The following is a PBE-GGA calculation of crystalline RbSn3Sb3 at its relaxed geometry, from Alexandria.

Computed properties:
SG = R-3
Energy relative to the elements, uncorrected = -95 meV/atom
Relative energy among the computed polymorphs = 0.000 eV/atom

Cell and atoms, written as POSCAR:
```
RbSn3Sb3
1.0
8.984 0.000 0.000
4.492 7.780 0.000
4.492 2.593 8.329
Rb Sn Sb
2 6 6
Cartesian
4.492 2.593 0.008
13.475 7.780 8.320
10.482 2.600 5.291
10.474 7.777 5.291
11.973 5.191 3.038
7.485 7.773 3.038
5.995 5.182 5.291
7.493 2.596 3.038
10.467 2.583 2.351
7.500 7.790 5.978
11.980 5.170 5.978
7.471 2.600 5.978
10.497 7.773 2.351
5.987 5.204 2.351
```

The following is a PBE-GGA calculation of crystalline ThZnIr at its relaxed geometry, from Alexandria.

Computed properties:
SG = F-43m

Cell and atoms, written as POSCAR:
```
ThZnIr
1.0
-3.166 2.763 -2.016
-2.766 -1.684 -3.352
-4.538 -0.659 0.835
Th Zn Ir
1 1 1
Cartesian
-5.235 0.210 -2.267
0.000 0.000 0.000
-2.617 0.105 -1.133
```

The following is a PBE-GGA calculation of crystalline TbDy2HoIn4 at its relaxed geometry, from Alexandria.

Computed properties:
SG = R-3m

Cell and atoms, written as POSCAR:
```
TbDy2HoIn4
1.0
5.309 0.000 0.000
2.655 4.598 0.000
2.655 1.533 8.688
In Dy Ho Tb
4 2 1 1
Cartesian
7.964 4.598 3.268
5.309 3.065 7.593
5.309 3.065 1.096
2.655 1.533 5.421
7.964 4.598 6.513
2.655 1.533 2.176
5.309 3.065 4.344
0.000 0.000 0.000
```

The following is a PBE-GGA calculation of crystalline Sc5SnBi4 at its relaxed geometry, from Alexandria.

Computed properties:
SG = I4/m

Cell and atoms, written as POSCAR:
```
Sc5SnBi4
1.0
6.004 0.000 0.000
3.002 6.715 0.000
3.002 0.000 6.715
Sc Bi Sn
5 4 1
Cartesian
9.012 2.643 5.405
3.009 0.000 0.000
3.008 4.071 1.310
6.010 1.310 2.643
6.010 5.405 4.071
3.008 1.366 2.677
6.010 2.677 5.349
9.012 5.349 4.038
6.010 4.038 1.366
0.007 0.000 0.000
```

The following is a PBE-GGA calculation of crystalline La2MoW at its relaxed geometry, from Alexandria.

Computed properties:
SG = C2/m
Relative energy among the computed polymorphs = 0.562 eV/atom

Cell and atoms, written as POSCAR:
```
La2MoW
1.0
5.723 0.005 0.016
-2.641 5.278 -0.013
0.441 0.878 2.911
W La Mo
1 2 1
Cartesian
1.541 2.642 0.002
3.082 0.441 1.464
0.000 0.000 0.000
-1.100 3.078 1.449
```

The following is a PBE-GGA calculation of crystalline Tb9NdHo2 at its relaxed geometry, from Alexandria.

Computed properties:
SG = P4/mmm
Relative energy among the computed polymorphs = 0.000 eV/atom

Cell and atoms, written as POSCAR:
```
Tb9NdHo2
1.0
5.039 0.000 0.000
0.000 5.039 0.000
0.000 0.000 15.127
Tb Ho Nd
9 2 1
Cartesian
0.000 2.520 2.556
2.520 0.000 7.564
2.520 0.000 12.571
0.000 2.520 7.564
2.520 2.520 5.066
2.520 0.000 2.556
0.000 2.520 12.571
2.520 2.520 10.061
2.520 2.520 0.000
0.000 0.000 5.060
0.000 0.000 10.068
0.000 0.000 0.000
```

The following is a PBE-GGA calculation of crystalline GdZr2Re at its relaxed geometry, from Alexandria.

Computed properties:
SG = Fm-3m
Relative energy among the computed polymorphs = 0.146 eV/atom

Cell and atoms, written as POSCAR:
```
GdZr2Re
1.0
-1.159 -4.748 -0.523
3.526 -3.421 0.147
0.312 -3.044 3.849
Zr Re Gd
2 1 1
Cartesian
2.008 -8.410 2.606
0.670 -2.803 0.868
0.000 0.000 0.000
1.339 -5.607 1.737
```

The following is a PBE-GGA calculation of crystalline Ag2HPd6 at its relaxed geometry, from Alexandria.

Computed properties:
SG = I4/mmm

Cell and atoms, written as POSCAR:
```
Ag2HPd6
1.0
-0.810 2.827 4.894
4.124 -3.080 2.463
5.393 5.426 -2.246
H Pd Ag
2 12 4
Cartesian
1.657 -0.127 3.678
1.886 5.540 3.771
2.490 -0.190 5.527
5.178 2.523 4.384
3.529 2.650 0.726
8.181 1.002 0.774
0.526 4.171 4.337
5.581 1.118 1.951
6.218 5.363 -0.416
3.126 4.055 3.160
5.810 6.784 2.044
2.897 -1.611 3.067
3.017 1.242 3.112
5.690 3.931 1.999
5.296 5.356 4.441
3.640 5.483 0.763
3.411 -0.183 0.670
5.067 -0.310 4.348
```

The following is a PBE-GGA calculation of crystalline CsKAu2F8 at its relaxed geometry, from Alexandria.

Computed properties:
SG = P-3
Energy relative to the elements, uncorrected = -1330 meV/atom

Cell and atoms, written as POSCAR:
```
CsKAu2F8
1.0
-3.650 -1.547 4.898
5.955 -2.044 -0.261
2.208 5.983 3.535
F Au K Cs
8 2 1 1
Cartesian
0.315 3.075 4.189
2.574 1.561 5.341
-0.010 1.672 6.767
4.523 0.721 1.405
4.198 -0.683 3.983
-0.102 -0.773 3.733
1.939 0.831 2.831
4.615 3.166 4.439
3.982 1.452 3.426
0.531 0.940 4.745
1.104 2.991 1.768
0.000 0.000 0.000
```

The following is a PBE-GGA calculation of crystalline Pm2Nd12Tm at its relaxed geometry, from Alexandria.

Computed properties:
SG = Cmme

Cell and atoms, written as POSCAR:
```
Pm2Nd12Tm
1.0
-5.401 0.265 -4.239
-1.994 -5.952 -2.794
-15.444 -3.946 19.428
Nd Pm Tm
24 4 2
Cartesian
-16.080 -6.008 12.062
-18.846 -4.937 14.132
-13.380 -3.639 6.828
-3.061 -0.782 3.850
-12.383 -3.164 15.578
-14.476 -6.695 6.079
-11.311 -6.467 7.898
-11.162 -2.885 4.844
-14.113 -5.505 9.587
-8.220 -3.197 6.376
-5.696 -1.588 -2.459
-8.725 -4.128 2.808
-17.164 -8.062 14.834
-5.028 -1.285 6.325
-12.059 -5.782 2.800
-7.506 -4.779 -2.798
-10.416 -2.662 13.103
-6.758 -3.626 0.334
-3.970 -4.680 -1.716
-19.029 -7.698 11.677
-10.921 -3.592 9.535
-15.320 -4.877 15.199
-9.823 -6.275 5.220
-3.821 -1.913 0.713
-6.913 -0.944 3.180
-5.111 -4.027 3.779
-14.030 -2.762 12.133
-12.228 -5.846 12.732
-2.708 0.131 -2.110
-16.433 -6.920 18.022
```

The following is a PBE-GGA calculation of crystalline DyLu2Pu at its relaxed geometry, from Alexandria.

Computed properties:
SG = Fm-3m
Relative energy among the computed polymorphs = 0.032 eV/atom

Cell and atoms, written as POSCAR:
```
DyLu2Pu
1.0
5.507 0.000 0.000
2.753 4.769 0.000
2.753 1.590 4.496
Dy Lu Pu
1 2 1
Cartesian
0.000 0.000 0.000
2.753 1.590 1.124
8.260 4.769 3.372
5.507 3.179 2.248
```

The following is a PBE-GGA calculation of crystalline YZrSe2 at its relaxed geometry, from Alexandria.

Computed properties:
SG = Fm-3m
Energy relative to the elements, uncorrected = -1289 meV/atom
Relative energy among the computed polymorphs = 0.167 eV/atom

Cell and atoms, written as POSCAR:
```
YZrSe2
1.0
-2.193 1.159 4.212
-4.878 0.180 0.247
-2.448 -3.412 2.501
Se Zr Y
2 1 1
Cartesian
-7.139 -1.555 5.219
-2.380 -0.518 1.740
-4.760 -1.037 3.480
0.000 0.000 0.000
```

The following is a PBE-GGA calculation of crystalline Ca4U3AlP8 at its relaxed geometry, from Alexandria.

Computed properties:
SG = R-3m

Cell and atoms, written as POSCAR:
```
Ca4U3AlP8
1.0
7.933 0.000 0.000
0.000 8.075 0.093
-3.966 -3.963 5.614
U P Ca Al
3 8 4 1
Cartesian
1.983 2.056 2.853
-1.983 2.056 2.853
3.966 4.038 0.046
0.000 0.152 2.911
0.000 3.950 2.728
3.966 0.162 2.979
2.029 1.923 5.596
5.995 2.189 0.111
1.937 2.189 0.111
-2.029 1.923 5.596
3.966 3.960 2.795
3.966 0.000 0.000
1.983 -1.981 2.807
0.000 0.000 0.000
-1.983 -1.981 2.807
0.000 4.038 0.046
```

Number 1: E -3.716 eV per atom. Number 2: E -6.381 eV per atom. Number 3: E -4.135 eV per atom. Number 4: E -5.727 eV per atom. Number 5: E -7.557 eV per atom. Number 6: E -4.613 eV per atom. Number 7: E -10.791 eV per atom. Number 8: E -4.503 eV per atom. Number 9: E -3.286 eV per atom. Number 10: E -4.594 eV per atom. Number 11: E -6.830 eV per atom. Number 12: E -6.784 eV per atom. Number 13: E -6.483 eV per atom.